1.
{
  "formula": "Pr3Y6HoTh2",
  "functional": "PBE",
  "state": "relaxed",
  "lattice": [[3.125, -5.410, 0.000], [3.125, 5.410, 0.000], [-2.085, 0.000, 11.693]],
  "species": ["Pr", "Pr", "Pr", "Y", "Y", "Y", "Y", "Y", "Y", "Ho", "Th", "Th"],
  "frac_coords": [[0.000, 0.000, 0.000], [0.334, 0.666, 0.000], [0.666, 0.334, 0.000], [0.081, 0.419, 0.256], [0.244, 0.244, 0.744], [0.419, 0.081, 0.256], [0.581, 0.919, 0.744], [0.756, 0.756, 0.256], [0.919, 0.581, 0.744], [0.500, 0.500, 0.500], [0.167, 0.833, 0.500], [0.833, 0.167, 0.500]],
  "total_magnetization_mub_per_fu": 0.000,
  "energy_ev_per_atom": -6.0277,
  "sg": "No. 12"
}


2.
{
  "formula": "Rb2HgPb3",
  "functional": "PBE",
  "state": "relaxed",
  "lattice": [[12.723, 0.000, 0.000], [0.000, 5.494, 0.000], [-6.135, 0.000, 6.416]],
  "species": ["Rb", "Rb", "Rb", "Rb", "Hg", "Hg", "Pb", "Pb", "Pb", "Pb", "Pb", "Pb"],
  "frac_coords": [[0.000, 0.000, 0.000], [0.013, 0.500, 0.655], [0.500, 0.500, 0.000], [0.513, 0.000, 0.655], [0.185, 0.000, 0.585], [0.685, 0.500, 0.585], [0.170, 0.500, 0.405], [0.324, 0.000, 0.050], [0.344, 0.500, 0.265], [0.670, 0.000, 0.405], [0.824, 0.500, 0.050], [0.844, 0.000, 0.265]],
  "total_magnetization_mub_per_fu": 0.000,
  "energy_ev_per_atom": -2.3834,
  "sg": "No. 8"
}


3.
{
  "formula": "LiZrSb",
  "functional": "PBE",
  "state": "relaxed",
  "lattice": [[3.235, 0.000, 0.000], [-1.617, 2.801, 0.000], [0.000, 0.000, 7.565]],
  "species": ["Li", "Zr", "Sb"],
  "frac_coords": [[0.000, 0.000, 0.000], [0.333, 0.667, 0.644], [0.667, 0.333, 0.320]],
  "raw_formation_energy_ev_per_fu": -0.3,
  "total_magnetization_mub_per_fu": 0.071,
  "energy_ev_per_atom": -4.9743,
  "sg": "No. 156"
}


4.
{
  "formula": "Zr2Te2Pt",
  "functional": "PBE",
  "state": "relaxed",
  "lattice": [[4.149, 0.000, 0.000], [0.000, 4.149, 0.000], [0.000, 0.000, 14.145]],
  "species": ["Zr", "Zr", "Zr", "Zr", "Te", "Te", "Te", "Te", "Pt", "Pt"],
  "frac_coords": [[0.000, 0.000, 0.098], [0.000, 0.000, 0.902], [0.500, 0.500, 0.402], [0.500, 0.500, 0.598], [0.000, 0.500, 0.250], [0.000, 0.500, 0.750], [0.500, 0.000, 0.250], [0.500, 0.000, 0.750], [0.000, 0.000, 0.500], [0.500, 0.500, 0.000]],
  "raw_formation_energy_ev_per_fu": -0.1,
  "total_magnetization_mub_per_fu": 0.000,
  "energy_ev_per_atom": -5.9097,
  "sg": "No. 139"
}


5.
{
  "formula": "BeReTc3",
  "functional": "PBE",
  "state": "relaxed",
  "lattice": [[4.097, 0.000, 0.000], [0.000, 4.097, 0.000], [0.000, 0.000, 4.097]],
  "species": ["Be", "Re", "Tc", "Tc", "Tc"],
  "frac_coords": [[0.000, 0.000, 0.000], [0.500, 0.500, 0.500], [0.000, 0.000, 0.500], [0.000, 0.500, 0.000], [0.500, 0.000, 0.000]],
  "total_magnetization_mub_per_fu": 0.000,
  "energy_ev_per_atom": -8.9113,
  "sg": "No. 221"
}


6.
{
  "formula": "Cs4Sn3Br10",
  "functional": "PBE",
  "state": "relaxed",
  "lattice": [[-2.948, 2.948, 20.827], [2.948, -2.948, 20.827], [2.948, 2.948, -20.827]],
  "species": ["Cs", "Cs", "Cs", "Cs", "Sn", "Sn", "Sn", "Br", "Br", "Br", "Br", "Br", "Br", "Br", "Br", "Br", "Br"],
  "frac_coords": [[0.068, 0.068, 0.000], [0.200, 0.200, 0.000], [0.800, 0.800, 0.000], [0.932, 0.932, 0.000], [0.357, 0.357, 0.000], [0.500, 0.500, 0.000], [0.643, 0.643, 0.000], [0.000, 0.500, 0.500], [0.141, 0.641, 0.500], [0.287, 0.287, 0.000], [0.359, 0.859, 0.500], [0.429, 0.429, 0.000], [0.500, 0.000, 0.500], [0.571, 0.571, 0.000], [0.641, 0.141, 0.500], [0.713, 0.713, 0.000], [0.859, 0.359, 0.500]],
  "raw_formation_energy_ev_per_fu": -21.9,
  "total_magnetization_mub_per_fu": 0.000,
  "energy_ev_per_atom": -3.1822,
  "sg": "No. 139"
}


7.
{
  "formula": "TcSbH3",
  "functional": "PBE",
  "state": "relaxed",
  "lattice": [[3.920, 0.000, 0.000], [0.000, 3.920, 0.000], [0.000, 0.000, 3.920]],
  "species": ["Tc", "Sb", "H", "H", "H"],
  "frac_coords": [[0.000, 0.000, 0.000], [0.500, 0.500, 0.500], [0.000, 0.500, 0.500], [0.500, 0.000, 0.500], [0.500, 0.500, 0.000]],
  "total_magnetization_mub_per_fu": 3.061,
  "energy_ev_per_atom": -3.5897,
  "sg": "No. 221"
}


8.
{
  "formula": "TeMo3",
  "functional": "PBE",
  "state": "relaxed",
  "lattice": [[7.869, 0.000, 0.000], [0.000, 9.764, 0.000], [0.000, 0.000, 4.253]],
  "species": ["Te", "Te", "Te", "Te", "Mo", "Mo", "Mo", "Mo", "Mo", "Mo", "Mo", "Mo", "Mo", "Mo", "Mo", "Mo"],
  "frac_coords": [[0.000, 0.128, 0.250], [0.000, 0.872, 0.750], [0.500, 0.372, 0.750], [0.500, 0.628, 0.250], [0.000, 0.426, 0.250], [0.000, 0.574, 0.750], [0.161, 0.289, 0.750], [0.161, 0.711, 0.250], [0.339, 0.211, 0.250], [0.339, 0.789, 0.750], [0.500, 0.074, 0.750], [0.500, 0.926, 0.250], [0.661, 0.211, 0.250], [0.661, 0.789, 0.750], [0.839, 0.289, 0.750], [0.839, 0.711, 0.250]],
  "raw_formation_energy_ev_per_fu": 2.2,
  "total_magnetization_mub_per_fu": 0.000,
  "energy_ev_per_atom": -8.3505,
  "sg": "No. 63"
}


9.
{
  "formula": "DyScGaCo",
  "functional": "PBE",
  "state": "relaxed",
  "lattice": [[6.737, 0.000, 0.000], [0.000, 6.737, 0.000], [0.000, 0.000, 6.737]],
  "species": ["Dy", "Dy", "Dy", "Dy", "Sc", "Sc", "Sc", "Sc", "Ga", "Ga", "Ga", "Ga", "Co", "Co", "Co", "Co"],
  "frac_coords": [[0.000, 0.000, 0.000], [0.000, 0.500, 0.500], [0.500, 0.000, 0.500], [0.500, 0.500, 0.000], [0.000, 0.000, 0.500], [0.000, 0.500, 0.000], [0.500, 0.000, 0.000], [0.500, 0.500, 0.500], [0.250, 0.250, 0.250], [0.250, 0.750, 0.750], [0.750, 0.250, 0.750], [0.750, 0.750, 0.250], [0.250, 0.250, 0.750], [0.250, 0.750, 0.250], [0.750, 0.250, 0.250], [0.750, 0.750, 0.750]],
  "total_magnetization_mub_per_fu": 0.784,
  "energy_ev_per_atom": -5.6278,
  "sg": "No. 216"
}